First-principles (PBE-GGA) data for a geometry-optimized BePdS structure, as listed in Alexandria.

a b c (Å): 3.3627 5.9826 4.1540
angles (deg): 90.00 90.00 90.00
With the nearest neighbours (Å) after each atom.
Space group Pmn2_1 (No. 31)
Inequivalent atoms, fractional coordinates:
Be  0.0000  0.1682  0.0000  3 S 2.07-2.18
Pd  0.0000  0.5953  0.7594  1 S 2.35, 2 Be 2.45
S  0.0000  0.8343  0.2079  3 Be 2.07-2.18

Values from the calculation:
Magnetization   0.00 Bohr magnetons per cell
Energy relative to the elements, uncorrected   -0.4339 eV/atom
DOS at the Fermi energy   0.00 states/eV/f.u.
Electronic total energy   -4.78 eV per atom
Calculated volume   83.6 Å³ per cell

First-principles (PBE-GGA) data for a geometry-optimized Co2AgPt structure, as listed in Alexandria.

a b c (Å): 2.6985 2.6985 7.7003
angles (deg): 90.00 90.00 90.00
With the nearest neighbours (Å) after each atom.
Space group P4/mmm (No. 123)
Inequivalent atoms, fractional coordinates:
Co  0.0000  0.0000  0.2392  4 Pt 2.65, 4 Co 2.70, 4 Ag 2.77
Ag  0.5000  0.5000  0.5000  4 Ag 2.70, 8 Co 2.77
Pt  0.5000  0.5000  0.0000  8 Co 2.65, 4 Pt 2.70

Values from the calculation:
Energy of formation   186.4 meV per atom
Magnetization   3.91 Bohr magnetons per cell
DOS at the Fermi energy   5.71 states/eV/f.u.
Electronic total energy   -5.59 eV per atom
Calculated volume   56.1 Å³ per cell

First-principles (PBE-GGA) data for a geometry-optimized NaCa2Hg2 structure, as listed in Alexandria.

a b c (Å): 8.4651 8.4651 4.1572
angles (deg): 90.00 90.00 90.00
With the nearest neighbours (Å) after each atom.
Space group P4/mbm (No. 127)
Inequivalent atoms, fractional coordinates:
Na  0.0000  0.0000  0.0000  4 Hg 3.28
Ca  0.1588  0.3412  0.5000  6 Hg 3.20-3.27
Hg  0.1379  0.6379  0.0000  6 Ca 3.20-3.27, 2 Na 3.28, 1 Hg 3.30

Values from the calculation:
Energy of formation   -407.9 meV per atom
Magnetization   0.00 Bohr magnetons per cell
DOS at the Fermi energy   2.75 states/eV/f.u.
Electronic total energy   -1.59 eV per atom
Calculated volume   297.9 Å³ per cell

First-principles (PBE-GGA) data for a geometry-optimized ZnRePt3 structure, as listed in Alexandria.

a b c (Å): 4.5602 4.5602 4.5602
angles (deg): 90.00 90.00 90.00
With the nearest neighbours (Å) after each atom.
Space group Pm-3m (No. 221)
Inequivalent atoms, fractional coordinates:
Zn  0.0000  0.0000  0.0000  6 Pt 2.28
Re  0.5000  0.5000  0.5000  12 Pt 3.22
Pt  0.0000  0.0000  0.5000  2 Zn 2.28

Values from the calculation:
Energy of formation   1310.7 meV per atom
Magnetization   4.67 Bohr magnetons per cell
DOS at the Fermi energy   3.93 states/eV/f.u.
Electronic total energy   -5.06 eV per atom
Calculated volume   94.8 Å³ per cell